Compound: VBiPt3
Source: Alexandria via LeMat-Bulk
Functional: GGA-PBE
Structure: relaxed

Properties
Fermi-level density of states, states/eV/cell: 3.30
ΔE_f, eV per atom: 0.4480
Mass density, g/cm3: 13.38
Excess energy over the best structure of this formula in the dataset, eV/atom: 0.000
Space group: Pm-3m (221)

Cell: 4.716 4.716 4.716 Å, 90.00 90.00 90.00°
Sites, in units of the cell vectors:
V1 0.000 0.000 0.000
Bi1 0.500 0.500 0.500
Pt1 0.000 0.000 0.500
Pt2 0.000 0.500 0.000
Pt3 0.500 0.000 0.000


Compound: V3BiPt
Source: Alexandria via LeMat-Bulk
Functional: GGA-PBE
Structure: relaxed

Properties
Fermi-level density of states, states/eV/cell: 6.62
ΔE_f, eV per atom: 0.7460
Mass density, g/cm3: 8.42
Excess energy over the best structure of this formula in the dataset, eV/atom: 0.000
Space group: Pm-3m (221)

Cell: 4.790 4.790 4.790 Å, 90.00 90.00 90.00°
Sites, in units of the cell vectors:
V1 0.000 0.000 0.500
V2 0.000 0.500 0.000
V3 0.500 0.000 0.000
Bi1 0.500 0.500 0.500
Pt1 0.000 0.000 0.000


Compound: V4BiPt2
Source: Alexandria via LeMat-Bulk
Functional: GGA-PBE
Structure: relaxed

Properties
Fermi-level density of states, states/eV/cell: 29.07
ΔE_f, eV per atom: 1.0681
Mass density, g/cm3: 8.42
Space group: I4/mmm (139)

Cell: 4.950 4.950 12.925 Å, 90.00 90.00 90.00°
Sites, in units of the cell vectors:
V1 0.000 0.000 0.213
V2 0.000 0.000 0.787
V3 0.000 0.500 0.000
V4 0.000 0.500 0.500
V5 0.500 0.000 0.000
V6 0.500 0.000 0.500
V7 0.500 0.500 0.287
V8 0.500 0.500 0.713
Bi1 0.000 0.000 0.000
Bi2 0.500 0.500 0.500
Pt1 0.000 0.000 0.397
Pt2 0.000 0.000 0.603
Pt3 0.500 0.500 0.103
Pt4 0.500 0.500 0.897


Compound: VZn2BiPt
Source: Alexandria via LeMat-Bulk
Functional: GGA-PBE
Structure: relaxed

Properties
Fermi-level density of states, states/eV/cell: 6.06
ΔE_f, eV per atom: 0.6149
Mass density, g/cm3: 8.99
Space group: P4/mmm (123)

Cell: 4.807 4.807 4.683 Å, 90.00 90.00 90.00°
Sites, in units of the cell vectors:
V1 0.000 0.000 0.000
Zn1 0.000 0.500 0.000
Zn2 0.500 0.000 0.000
Bi1 0.500 0.500 0.500
Pt1 0.000 0.000 0.500


Compound: BiPtW
Source: Alexandria via LeMat-Bulk
Functional: GGA-PBE
Structure: relaxed

Properties
Fermi-level density of states, states/eV/cell: 8.33
ΔE_f, eV per atom: 0.5773
Mass density, g/cm3: 16.58
Space group: Amm2 (38)

Cell: 13.801 3.367 5.067 Å, 90.00 90.00 90.00°
Sites, in units of the cell vectors:
Bi1 0.174 0.000 0.000
Bi2 0.174 0.500 0.500
Bi3 0.826 0.000 0.000
Bi4 0.826 0.500 0.500
Pt1 0.000 0.000 0.359
Pt2 0.000 0.500 0.859
Pt3 0.500 0.000 0.286
Pt4 0.500 0.500 0.786
W1 0.352 0.000 0.645
W2 0.352 0.500 0.145
W3 0.648 0.000 0.645
W4 0.648 0.500 0.145


Compound: Bi3PtW
Source: Alexandria via LeMat-Bulk
Functional: GGA-PBE
Structure: relaxed

Properties
Fermi-level density of states, states/eV/cell: 2.96
ΔE_f, eV per atom: 1.3075
Mass density, g/cm3: 10.85
Excess energy over the best structure of this formula in the dataset, eV/atom: 0.311
Space group: Pm-3m (221)

Cell: 5.359 5.359 5.359 Å, 90.00 90.00 90.00°
Sites, in units of the cell vectors:
Bi1 0.000 0.000 0.500
Bi2 0.000 0.500 0.000
Bi3 0.500 0.000 0.000
Pt1 0.000 0.000 0.000
W1 0.500 0.500 0.500


Compound: Bi3PtW
Source: Alexandria via LeMat-Bulk
Functional: GGA-PBE
Structure: relaxed

Properties
Fermi-level density of states, states/eV/cell: 2.30
ΔE_f, eV per atom: 0.9968
Mass density, g/cm3: 11.20
Excess energy over the best structure of this formula in the dataset, eV/atom: 0.000
Space group: Pm-3m (221)

Cell: 5.303 5.303 5.303 Å, 90.00 90.00 90.00°
Sites, in units of the cell vectors:
Bi1 0.000 0.000 0.500
Bi2 0.000 0.500 0.000
Bi3 0.500 0.000 0.000
Pt1 0.500 0.500 0.500
W1 0.000 0.000 0.000


Compound: YBi2Pt
Source: Alexandria via LeMat-Bulk
Functional: GGA-PBE
Structure: relaxed

Properties
Fermi-level density of states, states/eV/cell: 9.91
ΔE_f, eV per atom: -0.0545
Mass density, g/cm3: 9.75
Excess energy over the best structure of this formula in the dataset, eV/atom: 0.252
Space group: R-3m (166)

Cell: 3.725 3.725 29.851 Å, 90.00 90.00 120.00°
Sites, in units of the cell vectors:
Y1 0.000 0.000 0.000
Y2 0.333 0.667 0.667
Y3 0.667 0.333 0.333
Bi1 0.000 0.000 0.106
Bi2 0.000 0.000 0.894
Bi3 0.333 0.667 0.560
Bi4 0.333 0.667 0.773
Bi5 0.667 0.333 0.227
Bi6 0.667 0.333 0.440
Pt1 0.000 0.000 0.500
Pt2 0.333 0.667 0.167
Pt3 0.667 0.333 0.833


Compound: YBi2Pt
Source: Alexandria via LeMat-Bulk
Functional: GGA-PBE
Structure: relaxed

Properties
Fermi-level density of states, states/eV/cell: 13.18
ΔE_f, eV per atom: -0.3066
Mass density, g/cm3: 10.58
Excess energy over the best structure of this formula in the dataset, eV/atom: 0.000
Space group: I-42d (122)

Cell: 4.538 4.538 21.404 Å, 90.00 90.00 90.00°
Sites, in units of the cell vectors:
Y1 0.000 0.000 0.000
Y2 0.000 0.500 0.250
Y3 0.500 0.000 0.750
Y4 0.500 0.500 0.500
Bi1 0.230 0.250 0.625
Bi2 0.250 0.730 0.875
Bi3 0.250 0.770 0.375
Bi4 0.270 0.250 0.125
Bi5 0.730 0.750 0.125
Bi6 0.750 0.230 0.375
Bi7 0.750 0.270 0.875
Bi8 0.770 0.750 0.625
Pt1 0.000 0.000 0.500
Pt2 0.000 0.500 0.750
Pt3 0.500 0.000 0.250
Pt4 0.500 0.500 0.000


Compound: YBiPt10
Source: Alexandria via LeMat-Bulk
Functional: GGA-PBE
Structure: relaxed

Properties
Fermi-level density of states, states/eV/cell: 9.77
ΔE_f, eV per atom: -0.3571
Mass density, g/cm3: 16.71
Space group: Pmmm (47)

Cell: 4.486 5.384 9.250 Å, 90.00 90.00 90.00°
Sites, in units of the cell vectors:
Y1 0.000 0.000 0.000
Bi1 0.000 0.500 0.500
Pt1 0.000 0.000 0.334
Pt2 0.000 0.000 0.666
Pt3 0.000 0.500 0.167
Pt4 0.000 0.500 0.833
Pt5 0.500 0.000 0.500
Pt6 0.500 0.247 0.246
Pt7 0.500 0.247 0.754
Pt8 0.500 0.500 0.000
Pt9 0.500 0.753 0.246
Pt10 0.500 0.753 0.754


Compound: Y2Bi2Pt
Source: Alexandria via LeMat-Bulk
Functional: GGA-PBE
Structure: relaxed

Properties
Fermi-level density of states, states/eV/cell: 2.86
ΔE_f, eV per atom: -0.5261
Mass density, g/cm3: 9.88
Space group: P4/mbm (127)

Cell: 7.536 7.536 4.682 Å, 90.00 90.00 90.00°
Sites, in units of the cell vectors:
Y1 0.166 0.334 0.000
Y2 0.334 0.834 0.000
Y3 0.666 0.166 0.000
Y4 0.834 0.666 0.000
Bi1 0.148 0.648 0.500
Bi2 0.352 0.148 0.500
Bi3 0.648 0.852 0.500
Bi4 0.852 0.352 0.500
Pt1 0.000 0.000 0.500
Pt2 0.500 0.500 0.500


Compound: YBiPt3
Source: Alexandria via LeMat-Bulk
Functional: GGA-PBE
Structure: relaxed

Properties
Fermi-level density of states, states/eV/cell: 1.75
ΔE_f, eV per atom: 0.2318
Mass density, g/cm3: 11.33
Excess energy over the best structure of this formula in the dataset, eV/atom: 0.000
Space group: Pm-3m (221)

Cell: 5.058 5.058 5.058 Å, 90.00 90.00 90.00°
Sites, in units of the cell vectors:
Y1 0.000 0.000 0.000
Bi1 0.500 0.500 0.500
Pt1 0.000 0.500 0.500
Pt2 0.500 0.000 0.500
Pt3 0.500 0.500 0.000